No. 1
VASP calculation (PBE) on a geometry-optimized CsCoNiSe3 structure.

Values from the calculation:
Its crystal system is orthorhombic. The density is 5649 kg/m³. As for the final energy: -4.419 eV/atom.

Unit cell a=8.304 b=8.304 c=9.657 alpha=90.00 beta=90.00 gamma=154.51
Site moments in Bohr magnetons follow the coordinates.
Fractional positions:
1 Co 0.000 0.000 0.000  0.30
2 Co 0.000 0.000 0.500  0.31
3 Cs 0.756 0.244 0.250  0.00
4 Cs 0.244 0.756 0.750  0.00
5 Ni 0.473 0.527 0.250  0.32
6 Ni 0.527 0.473 0.750  0.32
7 Se 0.403 0.597 0.042  0.06
8 Se 0.060 0.940 0.250  0.01
9 Se 0.403 0.597 0.458  0.06
10 Se 0.597 0.403 0.542  0.06
11 Se 0.940 0.060 0.750  0.01
12 Se 0.597 0.403 0.958  0.06



No. 2
VASP calculation (PBE) on a geometry-optimized HoZnIr structure.

Values from the calculation:
Its crystal system is cubic. The density is 10370 kg/m³. For the formation energy, the calculation gives 78 meV/atom.

Unit cell a=4.574 b=4.574 c=4.574 alpha=60.00 beta=60.00 gamma=60.00
Fractional positions:
1 Ho 0.000 0.000 0.000
2 Ir 0.250 0.250 0.250
3 Zn 0.750 0.750 0.750